Entry 1:
Computed, not measured: crystalline TlVH2 at its relaxed geometry at the GGA-PBE level of DFT.

Values from the calculation:
- ΔE to the lowest computed polymorph (meV/atom) = 0
- total energy (eV for the cell shown) = -33.5

a = 6.3256 Å, b = 6.3256 Å, c = 6.3256 Å
α = 142.32°, β = 142.32°, γ = 54.34°
Positions (direct):
Tl (0.0000, 0.0000, 0.0000)
Tl (0.7500, 0.2500, 0.5000)
V (0.2500, 0.7500, 0.5000)
V (0.5000, 0.5000, 0.0000)
H (0.3712, 0.6250, 0.2462)
H (0.3750, 0.6212, 0.7462)
H (0.3788, 0.1250, 0.7538)
H (0.8750, 0.6288, 0.2538)

Entry 2:
Computed, not measured: crystalline GaSb2Mo2 at its relaxed geometry at the GGA-PBE level of DFT.

Values from the calculation:
- total energy (eV for the cell shown) = -63.6
- formation energy from raw total energies (meV per atom) = 223

a = 7.2661 Å, b = 7.2661 Å, c = 3.6621 Å
α = 90.00°, β = 90.00°, γ = 90.00°
Positions (direct):
Ga (0.0000, 0.0000, 0.0000)
Ga (0.5000, 0.5000, 0.0000)
Sb (0.1535, 0.3465, 0.5000)
Sb (0.3465, 0.8465, 0.5000)
Sb (0.6535, 0.1535, 0.5000)
Sb (0.8465, 0.6535, 0.5000)
Mo (0.1447, 0.6447, 0.0000)
Mo (0.3553, 0.1447, 0.0000)
Mo (0.6447, 0.8553, 0.0000)
Mo (0.8553, 0.3553, 0.0000)

Entry 3:
Computed, not measured: crystalline Ho6SbP2Se3 at its relaxed geometry at the GGA-PBE level of DFT.

Values from the calculation:
- total energy (eV for the cell shown) = -72.5
- formation energy from raw total energies (meV per atom) = -1638

a = 9.1687 Å, b = 9.1687 Å, c = 8.2376 Å
α = 103.03°, β = 103.03°, γ = 25.65°
Positions (direct):
Ho (0.0093, 0.0093, 0.2644)
Ho (0.3266, 0.3266, 0.4273)
Ho (0.3274, 0.3274, 0.8912)
Ho (0.6726, 0.6726, 0.1088)
Ho (0.6734, 0.6734, 0.5727)
Ho (0.9907, 0.9907, 0.7356)
Sb (0.5000, 0.5000, 0.0000)
P (0.1682, 0.1682, 0.3371)
P (0.8318, 0.8318, 0.6629)
Se (0.1631, 0.1631, 0.8337)
Se (0.5000, 0.5000, 0.5000)
Se (0.8369, 0.8369, 0.1663)

Entry 4:
Computed, not measured: crystalline Li2YRe at its relaxed geometry at the GGA-PBE level of DFT.

Values from the calculation:
- formation energy from the elements (kJ/mol of formula units) = 268
- ΔE to the lowest computed polymorph (meV/atom) = 305
- total energy (eV for the cell shown) = -39.9

a = 10.8006 Å, b = 10.8006 Å, c = 10.8006 Å
α = 158.87°, β = 158.87°, γ = 30.06°
Positions (direct):
Li (0.0651, 0.6250, 0.9401)
Li (0.3750, 0.3151, 0.4401)
Li (0.6849, 0.1250, 0.0599)
Li (0.8750, 0.9349, 0.5599)
Y (0.2500, 0.7500, 0.5000)
Y (0.5000, 0.5000, 0.0000)
Re (0.0000, 0.0000, 0.0000)
Re (0.7500, 0.2500, 0.5000)

Question: The lowest total energy belongs to which entry?
Answer: Ho6SbP2Se3

Question: total energy of number 4 (Li2YRe)?
Answer: -39.9 eV for the cell shown

Question: What is the total energy in the fourth record?
Answer: -39.9 eV for the cell shown